The following is a PBE calculation of a relaxed structure of PaMnNiH6, from the Alexandria database.

POSCAR file:
```
PaMnNiH6
1.0
4.3553 0.0000 0.0000
-2.1777 3.7718 0.0000
0.0000 0.0000 4.1764
Pa Mn Ni H
1 1 1 6
direct
0.0000 0.0000 0.0000
0.6667 0.3333 0.5000
0.3333 0.6667 0.5000
0.5019 0.0038 0.2315
0.5019 0.0038 0.7685
0.5019 0.4981 0.2315
0.5019 0.4981 0.7685
0.9962 0.4981 0.2315
0.9962 0.4981 0.7685
```

## Properties
Symmetry: P-6m2, No. 187
DOS(E_F) in states/eV/atom: 0.605
Size of the total moment in μB/cell: 1.22
Calculated total energy in eV per atom: -5.196